Here is a relaxed structure of LiLuZnFeO4 from Alexandria via LeMat-Bulk. Energies are from PBE with a Hubbard U.

a = 10.6005 Å, b = 10.6005 Å, c = 10.6005 Å
α = 17.87°, β = 17.87°, γ = 17.87°
Last column: magnetic moment on the atom in μB.
Atoms (fractional coordinates):
Li1 0.5007 0.5007 0.5007  0.00
Lu1 0.9990 0.9990 0.9990  -0.01
Zn1 0.2335 0.2335 0.2335  0.00
Fe1 0.7658 0.7658 0.7658  -3.78
O1 0.1255 0.1255 0.1255  -0.14
O2 0.8766 0.8766 0.8766  0.00
O3 0.2973 0.2973 0.2973  0.00
O4 0.7015 0.7015 0.7015  -0.03

Values from the calculation:
Symmetry = R3m
Spin magnetization = 4.04 μB per formula unit
Density of states at the Fermi level = 4.4 states/eV per cell
Total DFT energy (no corrections) = -6.187 eV/atom
ρ = 6.23 g cm⁻³